VASP calculation (PBE) on MnFe2Ir after structural relaxation.

Cell and atoms, written as extended XYZ:
```
4
Lattice="4.465 -0.017 0.024 3.685 2.520 0.024 0.806 0.248 4.410" Properties=species:S:1:pos:R:3 pbc="T T T"
Mn 2.255 0.693 1.068
Fe 6.700 2.058 3.370
Fe 0.009 0.003 0.006
Ir 4.470 1.373 2.242
```

Calculated values
Calculated density = 11.95 g cm⁻³
VASP energy = -8.75 eV per atom
Magnetization = 1.85 μB per cell